one:
SnMoAu3: relaxed, PBE.

Geometry as POSCAR:
```
SnMoAu3
1.0
5.144 0.000 0.000
0.000 5.144 0.000
0.000 0.000 5.144
Mo Au Sn
1 3 1
direct
0.500 0.500 0.500
0.000 0.500 0.000
0.000 0.000 0.500
0.500 0.000 0.000
0.000 0.000 0.000
```


two:
SnMoAu3: relaxed, PBE.

Geometry as POSCAR:
```
SnMoAu3
1.0
5.069 0.000 0.000
0.000 5.069 0.000
0.000 0.000 5.069
Mo Au Sn
1 3 1
direct
0.000 0.000 0.000
0.000 0.500 0.000
0.000 0.000 0.500
0.500 0.000 0.000
0.500 0.500 0.500
```


Energies relative to the minimum, meV/atom: one 172; two 0